(one)
A plane-wave DFT calculation with PBE-GGA was carried out for a relaxed KAl2Ag crystal.

Values from the calculation:
* total magnetic moment: 0.000 μB/cell

Structure (POSCAR):
```
KAl2Ag
1.0
-2.5167 -2.6531 -5.0156
0.5913 -2.9872 5.4089
-2.5571 0.9281 0.7921
K Al Ag
1 2 1
Cartesian
-2.5369 -0.8625 -2.1117
0.0000 0.0000 0.0000
-0.9627 -2.8202 0.1966
-0.9829 -1.0295 3.1005
```

=====

(two)
A plane-wave DFT calculation with PBE-GGA was carried out for a relaxed KAl2Ag crystal.

Values from the calculation:
* total magnetic moment: 0.000 μB/cell

Structure (POSCAR):
```
KAl2Ag
1.0
-1.4373 1.3953 -3.8029
-4.0139 0.0207 1.5247
0.6063 4.7976 1.5311
K Al Ag
1 2 1
Cartesian
-0.4155 3.0964 -1.1359
0.0000 0.0000 0.0000
-2.7256 0.7080 -1.1391
-1.7038 2.4091 1.5279
```

=====

Ranking the structures above by energy, (one) is first and the second is 0.009 eV/atom behind.